[1]
This record from the Open Quantum Materials Database describes crystalline PrAgSeO at its relaxed geometry. The functional is PBE-GGA.

**Raw total energy**: -23.66 eV/f.u.
**Density**: 7.220 g cm⁻³

Cell lengths 5.7874, 5.7874, 9.4413 Å; angles 90.00, 90.00, 90.00 degrees
Sites, in units of the cell vectors:
Ag 0.2316 0.2684 0.4985
Ag 0.7684 0.7316 0.4985
Ag 0.2684 0.7684 0.4985
Ag 0.7316 0.2316 0.4985
O 0.2497 0.2503 0.0004
O 0.7503 0.7497 0.0004
O 0.7497 0.2497 0.0004
O 0.2503 0.7503 0.0004
Pr 0.0000 0.0000 0.8730
Pr 0.0000 0.5000 0.1270
Pr 0.5000 0.5000 0.8730
Pr 0.5000 0.0000 0.1270
Se 0.5000 0.5000 0.2998
Se 0.0000 0.0000 0.2998
Se 0.0000 0.5000 0.7023
Se 0.5000 0.0000 0.7023

---

[2]
This record from the Open Quantum Materials Database describes crystalline PrAgSeO at its relaxed geometry. The functional is PBE-GGA.

**Raw total energy**: -22.78 eV/f.u.
**Density**: 7.226 g cm⁻³

Cell lengths 6.1808, 7.5344, 6.9055 Å; angles 90.00, 100.74, 90.00 degrees
Sites, in units of the cell vectors:
Pr 0.3875 0.1012 0.2626
Pr 0.6125 0.8988 0.7374
Pr 0.3875 0.3988 0.7626
Pr 0.6125 0.6012 0.2374
O 0.5424 0.3198 0.0784
O 0.4576 0.8198 0.4216
O 0.5424 0.1802 0.5784
O 0.4576 0.6802 0.9216
Se 0.8568 0.9562 0.1969
Se 0.1432 0.0438 0.8031
Se 0.8568 0.5438 0.6969
Se 0.1432 0.4562 0.3031
Ag 0.9112 0.2826 0.9911
Ag 0.9112 0.2174 0.4911
Ag 0.0888 0.7174 0.0089
Ag 0.0888 0.7826 0.5089

---

[3]
This record from the Open Quantum Materials Database describes crystalline PrAgSeO at its relaxed geometry. The functional is PBE-GGA.

**Raw total energy**: -23.66 eV/f.u.
**Density**: 7.230 g cm⁻³

Cell lengths 9.4278, 5.7871, 5.7877 Å; angles 90.00, 90.00, 90.00 degrees
Sites, in units of the cell vectors:
Pr 0.1271 0.5001 0.2500
Pr 0.1271 0.0000 0.7500
Pr 0.8729 0.0000 0.2500
Pr 0.8729 0.4999 0.7500
O 0.0000 0.2500 0.5000
O 0.0000 0.7500 0.0000
O 0.0000 0.7500 0.5000
O 0.0000 0.2500 0.0000
Se 0.2994 0.9987 0.2500
Se 0.7006 0.0013 0.7500
Se 0.7006 0.4987 0.2500
Se 0.2994 0.5013 0.7500
Ag 0.4990 0.2500 0.0000
Ag 0.5010 0.7500 0.5000
Ag 0.5010 0.7500 0.0000
Ag 0.4990 0.2500 0.5000

---

[4]
This record from the Open Quantum Materials Database describes crystalline PrAgSeO at its relaxed geometry. The functional is PBE-GGA.

**Raw total energy**: -23.66 eV/f.u.
**Density**: 7.224 g cm⁻³

Cell lengths 5.7912, 5.7912, 9.4240 Å; angles 90.00, 90.00, 90.00 degrees
Sites, in units of the cell vectors:
O 0.2500 0.7499 0.0003
O 0.2500 0.2501 0.0003
O 0.7500 0.2501 0.0003
O 0.7500 0.7499 0.0003
Se 0.0000 0.0000 0.7009
Se 0.0000 0.5000 0.2993
Se 0.5000 0.0000 0.2990
Se 0.5000 0.5000 0.6995
Ag 0.2500 0.7498 0.4996
Ag 0.2500 0.2502 0.4996
Ag 0.7500 0.2502 0.4996
Ag 0.7500 0.7498 0.4996
Pr 0.0000 0.5000 0.8734
Pr 0.0000 0.0000 0.1275
Pr 0.5000 0.5000 0.1274
Pr 0.5000 0.0000 0.8733

---

[5]
This record from the Open Quantum Materials Database describes crystalline PrAgSnO3 at its relaxed geometry. The functional is PBE-GGA.

**Raw total energy**: -37.04 eV/f.u.
**Density**: 6.605 g cm⁻³

Cell lengths 6.9787, 6.9787, 8.3792 Å; angles 90.00, 90.00, 30.79 degrees
Sites, in units of the cell vectors:
Sn 0.3261 0.3261 0.7500
Sn 0.6739 0.6739 0.2500
O 0.6130 0.6130 0.4999
O 0.0845 0.0845 0.2500
O 0.3870 0.3870 0.9999
O 0.9155 0.9155 0.7500
O 0.6130 0.6130 0.0001
O 0.3870 0.3870 0.5001
Pr 0.0000 0.0000 0.5000
Pr 0.0000 0.0000 0.0000
Ag 0.6604 0.6604 0.7500
Ag 0.3396 0.3396 0.2500

---

[6]
This record from the Open Quantum Materials Database describes crystalline SrPrAgO3 at its relaxed geometry. The functional is PBE-GGA.

**Raw total energy**: -37.38 eV/f.u.
**Density**: 5.871 g cm⁻³

Cell lengths 6.7339, 6.7339, 8.8322 Å; angles 90.00, 90.00, 32.88 degrees
Sites, in units of the cell vectors:
O 0.6191 0.6191 0.5192
O 0.0678 0.0678 0.2500
O 0.3809 0.3809 0.4808
O 0.9322 0.9322 0.7500
O 0.6191 0.6191 0.9808
O 0.3809 0.3809 0.0192
Sr 0.6795 0.6795 0.2500
Sr 0.3205 0.3205 0.7500
Ag 0.6207 0.6207 0.7500
Ag 0.3793 0.3793 0.2500
Pr 0.0000 0.0000 0.5000
Pr 0.0000 0.0000 0.0000

---

[7]
This record from the Open Quantum Materials Database describes crystalline TbPrAg2O4 at its relaxed geometry. The functional is PBE-GGA.

**Raw total energy**: -52.27 eV/f.u.
**Density**: 6.795 g cm⁻³

Cell lengths 3.6161, 3.6161, 12.5076 Å; angles 90.00, 90.00, 120.00 degrees
Sites, in units of the cell vectors:
Ag 0.6667 0.3333 0.7551
Ag 0.3333 0.6667 0.2449
O 0.3333 0.6667 0.0800
O 0.3333 0.6667 0.4097
O 0.6667 0.3333 0.5903
O 0.6667 0.3333 0.9200
Pr 0.0000 0.0000 0.5000
Tb 0.0000 0.0000 0.0000

---

[8]
This record from the Open Quantum Materials Database describes crystalline PrYAg2O4 at its relaxed geometry. The functional is PBE-GGA.

**Raw total energy**: -54.05 eV/f.u.
**Density**: 6.000 g cm⁻³

Cell lengths 3.6068, 3.6068, 12.5167 Å; angles 90.00, 90.00, 120.00 degrees
Sites, in units of the cell vectors:
Pr 0.0000 0.0000 0.5000
O 0.3333 0.6667 0.0798
O 0.6667 0.3333 0.9202
O 0.3333 0.6667 0.4094
O 0.6667 0.3333 0.5906
Ag 0.6667 0.3333 0.7553
Ag 0.3333 0.6667 0.2447
Y 0.0000 0.0000 0.0000

---

[9]
This record from the Open Quantum Materials Database describes crystalline AgPtO2 at its relaxed geometry. The functional is PBE-GGA.

**Raw total energy**: -20.09 eV/f.u.
**Density**: 10.027 g cm⁻³

Cell lengths 6.2593, 3.1213, 6.4202 Å; angles 90.00, 117.82, 90.00 degrees
Sites, in units of the cell vectors:
O 0.2355 0.0000 0.6330
O 0.9120 0.5000 0.7703
O 0.7645 0.0000 0.3670
O 0.0880 0.5000 0.2297
Pt 0.0000 0.0000 0.0000
Pt 0.0000 0.5000 0.5000
Ag 0.5000 0.0000 0.5000
Ag 0.5000 0.0000 0.0000

---

[10]
This record from the Open Quantum Materials Database describes crystalline Ag6PtO8 at its relaxed geometry. The functional is PBE-GGA.

**Raw total energy**: -64.07 eV/f.u.
**Density**: 8.174 g cm⁻³

Cell lengths 6.5326, 6.5326, 6.5326 Å; angles 60.00, 60.00, 60.00 degrees
Sites, in units of the cell vectors:
Ag 0.0000 0.5000 0.5000
Ag 0.5000 0.0000 0.5000
Ag 0.0000 0.0000 0.5000
Ag 0.5000 0.5000 0.0000
Ag 0.5000 0.0000 0.0000
Ag 0.0000 0.5000 0.0000
Pt 0.0000 0.0000 0.0000
O 0.7500 0.7500 0.7500
O 0.7814 0.7814 0.2186
O 0.7814 0.2186 0.2186
O 0.2500 0.2500 0.2500
O 0.2186 0.2186 0.7814
O 0.7814 0.2186 0.7814
O 0.2186 0.7814 0.2186
O 0.2186 0.7814 0.7814

---

[11]
This record from the Open Quantum Materials Database describes crystalline AgPt2O4 at its relaxed geometry. The functional is PBE-GGA.

**Raw total energy**: -36.73 eV/f.u.
**Density**: 9.988 g cm⁻³

Cell lengths 6.4170, 6.4170, 6.4170 Å; angles 119.99, 90.02, 119.99 degrees
Sites, in units of the cell vectors:
Pt 0.3750 0.7500 0.1250
Pt 0.3750 0.2500 0.6250
Pt 0.8750 0.2500 0.6250
Pt 0.3750 0.7500 0.6250
O 0.1466 0.2931 0.8535
O 0.6034 0.2069 0.3965
O 0.6035 0.2069 0.8105
O 0.1895 0.7931 0.3965
O 0.5605 0.7069 0.8535
O 0.1465 0.7069 0.8534
O 0.6035 0.7931 0.3966
O 0.1465 0.2931 0.4395
Ag 0.0000 0.0000 0.0000
Ag 0.7500 0.5000 0.2500

---

[12]
This record from the Open Quantum Materials Database describes crystalline AgPtO3 at its relaxed geometry. The functional is PBE-GGA.

**Raw total energy**: -23.17 eV/f.u.
**Density**: 9.532 g cm⁻³

Cell lengths 3.8680, 3.8680, 4.0865 Å; angles 90.00, 90.00, 90.00 degrees
Sites, in units of the cell vectors:
Ag 0.0000 0.0000 0.0379
O 0.0000 0.5000 0.6306
O 0.5000 0.5000 0.0637
O 0.5000 0.0000 0.6306
Pt 0.5000 0.5000 0.5372